(1)
Density functional theory data (GGA-PBE) for TlBi2PdO6 after structural relaxation.

Structure (extended XYZ):
```
10
Lattice="2.954 1.706 4.981 -2.954 1.706 4.981 0.000 -3.411 4.981" Properties=species:S:1:pos:R:3 pbc="T T T"
Tl 0.000 0.000 0.000
Bi 0.000 0.000 4.065
Bi 0.000 0.000 11.671
Pd 0.000 0.000 7.216
O -1.563 0.156 5.854
O -1.230 -1.417 8.244
O 0.647 -1.432 5.854
O -0.612 1.773 8.244
O 0.917 1.276 5.854
O 1.842 -0.356 8.244
```

Computed properties:
- Spin magnetization: 0.0 μB/f.u.
- V: 151 Å³/cell
- Space-group type: No. 146
- Formation energy (no corrections): -808 meV/atom

=====

(2)
Density functional theory data (GGA-PBE) for Nd3TiAg3Se8 after structural relaxation.

Structure (extended XYZ):
```
15
Lattice="6.990 -4.188 0.000 6.990 4.188 0.000 -4.503 0.000 6.814" Properties=species:S:1:pos:R:3 pbc="T T T"
Nd 0.000 0.000 0.000
Nd 1.243 2.094 3.407
Nd 1.243 -2.094 3.407
Ti 6.990 0.000 0.000
Ag 3.495 2.094 0.000
Ag 3.495 -2.094 0.000
Ag 4.738 0.000 3.407
Se 2.421 0.000 1.690
Se 0.323 0.000 5.306
Se 5.936 1.869 1.534
Se 3.541 1.869 5.280
Se 5.936 -1.869 1.534
Se 3.541 -1.869 5.280
Se 9.154 0.000 1.508
Se 7.056 0.000 5.124
```

Computed properties:
- Spin magnetization: 0.1 μB/f.u.
- V: 399 Å³/cell
- Space-group type: No. 12
- Formation energy (no corrections): -1100 meV/atom

=====

(3)
Density functional theory data (GGA-PBE) for FeH2I8 after structural relaxation.

Structure (extended XYZ):
```
11
Lattice="8.663 -4.905 0.000 8.663 4.905 0.000 -1.231 0.000 5.878" Properties=species:S:1:pos:R:3 pbc="T T T"
Fe 0.000 0.000 0.000
H 3.849 0.000 3.345
H 12.246 0.000 2.532
I 2.412 0.000 1.042
I 7.477 2.909 1.647
I 8.619 2.909 4.231
I 5.058 0.000 4.460
I 11.037 0.000 1.418
I 7.477 -2.909 1.647
I 8.619 -2.909 4.231
I 13.683 0.000 4.836
```

Computed properties:
- Spin magnetization: 4.0 μB/f.u.
- V: 499 Å³/cell
- Space-group type: No. 12

=====

(4)
Density functional theory data (GGA-PBE) for MgZr6Sc2 after structural relaxation.

Structure (extended XYZ):
```
9
Lattice="-2.625 2.971 7.145 2.625 -2.971 7.145 2.625 2.971 -7.145" Properties=species:S:1:pos:R:3 pbc="T T T"
Mg 0.000 0.000 0.000
Zr 2.625 1.485 -2.825
Zr 2.625 1.534 0.000
Zr 2.625 1.485 2.825
Zr 0.000 1.486 4.320
Zr 0.000 1.438 7.145
Zr 0.000 1.486 9.970
Sc 2.625 0.000 5.619
Sc 0.000 2.971 1.526
```

Computed properties:
- Formation energy from the elements: 0.4134 eV/atom
- Spin magnetization: 0.0 μB/f.u.
- V: 223 Å³/cell
- Space-group type: No. 71

=====

Electronic total energy, record by record: -5.31, -5.01, -2.46, -6.87 eV per atom